No. 1
{"formula": "MnFeCl6", "functional": "PBE", "state": "optimized geometry", "cell": [[-5.070, -0.115, 3.384], [-4.891, -0.293, -3.623], [2.688, -5.878, 1.971]], "species": ["Mn", "Fe", "Cl", "Cl", "Cl", "Cl", "Cl", "Cl"], "fractional_positions": [[0.000, 0.000, 0.000], [0.500, 0.500, 0.000], [0.728, 0.726, 0.000], [0.229, 0.906, 0.269], [0.272, 0.274, 0.000], [0.771, 0.362, 0.269], [0.771, 0.094, 0.731], [0.229, 0.638, 0.731]], "m_tot_mub_per_cell": 8.6, "dft_energy_ev_per_atom": -4.3551, "e_form_raw_ev_per_atom": -0.7661}

No. 2
{"formula": "NbIn2FeAu", "functional": "PBE", "state": "optimized geometry", "cell": [[-2.256, 3.598, -2.159], [1.269, -1.746, -4.235], [-3.999, -2.587, -0.132]], "species": ["Nb", "Au", "Fe", "In", "In"], "fractional_positions": [[0.500, 0.500, 0.500], [0.000, 0.500, 0.000], [0.000, 0.000, 0.000], [0.000, 0.000, 0.500], [0.500, 0.000, 0.000]], "m_tot_mub_per_cell": 0.0, "dft_energy_ev_per_atom": -4.4876, "polymorph_energy_kcal_per_mol_atoms": 12.83, "delta_e_f_kj_per_mol_fu": 468}

No. 3
{"formula": "CaBe2Sb2", "functional": "PBE", "state": "optimized geometry", "cell": [[3.984, 0.000, 0.000], [0.000, 3.984, 0.000], [1.992, 1.992, 6.929]], "species": ["Sb", "Sb", "Ca", "Be", "Be"], "fractional_positions": [[0.362, 0.362, 0.275], [0.638, 0.638, 0.725], [0.000, 0.000, 0.000], [0.750, 0.250, 0.500], [0.250, 0.750, 0.500]], "m_tot_mub_per_cell": 0.0, "dft_energy_ev_per_atom": -3.7214, "e_form_raw_ev_per_atom": -0.1816}

No. 4
{"formula": "TiSnS2", "functional": "PBE", "state": "optimized geometry", "cell": [[17.025, 0.000, 3.006], [1.712, 4.823, -3.811], [-1.712, 4.823, 3.811]], "species": ["S", "S", "S", "S", "S", "S", "S", "S", "S", "S", "S", "S", "S", "S", "S", "S", "Sn", "Sn", "Sn", "Sn", "Sn", "Sn", "Sn", "Sn", "Ti", "Ti", "Ti", "Ti", "Ti", "Ti", "Ti", "Ti"], "fractional_positions": [[0.069, 0.783, 0.762], [0.431, 0.262, 0.283], [0.931, 0.217, 0.238], [0.569, 0.738, 0.717], [0.750, 0.112, 0.141], [0.750, 0.641, 0.612], [0.250, 0.888, 0.859], [0.250, 0.359, 0.388], [0.431, 0.802, 0.148], [0.069, 0.648, 0.302], [0.569, 0.198, 0.852], [0.931, 0.352, 0.698], [0.750, 0.160, 0.660], [0.250, 0.840, 0.340], [0.750, 0.593, 0.093], [0.250, 0.407, 0.907], [0.098, 0.215, 0.298], [0.402, 0.798, 0.715], [0.902, 0.785, 0.702], [0.598, 0.202, 0.285], [0.402, 0.301, 0.685], [0.098, 0.185, 0.801], [0.598, 0.699, 0.315], [0.902, 0.815, 0.199], [0.330, 0.583, 0.164], [0.170, 0.664, 0.083], [0.670, 0.417, 0.836], [0.830, 0.336, 0.917], [0.320, 0.088, 0.159], [0.180, 0.659, 0.588], [0.680, 0.912, 0.841], [0.820, 0.341, 0.412]], "m_tot_mub_per_cell": 0.0, "dft_energy_ev_per_atom": -5.8497, "e_form_raw_ev_per_atom": -0.8115}

No. 5
{"formula": "AcLa2Ag2Hg2", "functional": "PBE", "state": "optimized geometry", "cell": [[-4.633, -1.430, -1.152], [-0.886, -2.341, -4.309], [-0.301, -9.666, 2.432]], "species": ["Ac", "La", "La", "Ag", "Ag", "Hg", "Hg"], "fractional_positions": [[0.000, 0.000, 0.000], [0.126, 0.126, 0.622], [0.874, 0.874, 0.378], [0.596, 0.596, 0.212], [0.404, 0.404, 0.788], [0.743, 0.743, 0.771], [0.257, 0.257, 0.229]], "m_tot_mub_per_cell": 0.0, "dft_energy_ev_per_atom": -3.1992, "delta_e_f_kj_per_mol_fu": -205}

No. 6
{"formula": "Y3TlO", "functional": "PBE", "state": "optimized geometry", "cell": [[-2.081, 2.946, -1.199], [-1.458, -2.465, 2.499], [7.339, 11.581, 15.707]], "species": ["Y", "Y", "Y", "Y", "Y", "Y", "Tl", "Tl", "O", "O"], "fractional_positions": [[0.000, 0.000, 0.250], [0.000, 0.000, 0.750], [0.333, 0.667, 0.885], [0.333, 0.667, 0.615], [0.667, 0.333, 0.385], [0.667, 0.333, 0.115], [0.000, 0.000, 0.000], [0.000, 0.000, 0.500], [0.333, 0.667, 0.750], [0.667, 0.333, 0.250]], "m_tot_mub_per_cell": 0.0, "dft_energy_ev_per_atom": -6.5560, "e_form_raw_ev_per_atom": -1.2126}

What is the formula in the first record? MnFeCl6

Copy entry 6 word for word.
{"formula": "Y3TlO", "functional": "PBE", "state": "optimized geometry", "cell": [[-2.081, 2.946, -1.199], [-1.458, -2.465, 2.499], [7.339, 11.581, 15.707]], "species": ["Y", "Y", "Y", "Y", "Y", "Y", "Tl", "Tl", "O", "O"], "fractional_positions": [[0.000, 0.000, 0.250], [0.000, 0.000, 0.750], [0.333, 0.667, 0.885], [0.333, 0.667, 0.615], [0.667, 0.333, 0.385], [0.667, 0.333, 0.115], [0.000, 0.000, 0.000], [0.000, 0.000, 0.500], [0.333, 0.667, 0.750], [0.667, 0.333, 0.250]], "m_tot_mub_per_cell": 0.0, "dft_energy_ev_per_atom": -6.5560, "e_form_raw_ev_per_atom": -1.2126}

Number 2 is which compound? NbIn2FeAu